The following is a PBE calculation of crystalline NpF4 at its relaxed geometry, from Alexandria via LeMat-Bulk.

Output
The value obtained for the total energy is -7.55 eV/atom. For the energy relative to the elements, uncorrected, the calculation gives -3.465 eV/atom. The value obtained for the density is 6.72 g cm⁻³.

The structure in CIF format:
```
data_NpF4
_chemical_formula_sum 'Np12 F48'
_space_group_name_H-M_alt 'C 1 2/c 1'
_space_group_IT_number 15
_cell_length_a 12.739
_cell_length_b 10.835
_cell_length_c 8.353
_cell_angle_alpha 90.00
_cell_angle_beta 126.41
_cell_angle_gamma 90.00
loop_
_space_group_symop_operation_xyz
'x,y,z'
'-x,-y,-z'
'-x,y,-z+1/2'
'x,-y,z+1/2'
'x+1/2,y+1/2,z'
'-x+1/2,-y+1/2,-z'
'-x+1/2,y+1/2,-z+1/2'
'x+1/2,-y+1/2,z+1/2'
loop_
_atom_site_label
_atom_site_type_symbol
_atom_site_fract_x
_atom_site_fract_y
_atom_site_fract_z
_atom_site_occupancy
Np1 Np 0.000 0.214 0.250 1
Np2 Np 0.206 0.428 0.832 1
F1 F 0.000 0.397 0.750 1
F2 F 0.108 0.295 0.573 1
F3 F 0.120 0.378 0.286 1
F4 F 0.121 0.056 0.455 1
F5 F 0.122 0.151 0.147 1
F6 F 0.211 0.470 0.106 1
F7 F 0.250 0.250 0.000 1
```